The following is a DFT calculation (SCAN) of a PBEsol-optimized structure of KSrNi2.

Lattice parameters (Å, degrees): 3.363 3.363 8.156 90.00 90.00 90.00
Space group P4/mmm (No. 123)
One atom of each set of equivalent atoms:
K 0.000 0.000 0.000 (multiplicity 1)
Sr 0.000 0.000 0.500 (multiplicity 1)
Ni 0.500 0.500 0.280 (multiplicity 2)

- total energy (eV per atom) = -15.0289
- V (Å³/cell) = 92.2
- DFT formation energy (kcal/mol of atoms) = 16.34

---

The following is a DFT calculation (SCAN) of a PBEsol-optimized structure of AlRhCl2.

Lattice parameters (Å, degrees): 2.986 2.986 7.795 90.00 90.00 90.00
Space group P4mm (No. 99)
One atom of each set of equivalent atoms:
Al 0.000 0.000 0.000 (multiplicity 1)
Rh 0.500 0.500 0.813 (multiplicity 1)
Cl 0.000 0.000 0.601 (multiplicity 1)
Cl 0.500 0.500 0.214 (multiplicity 1)

- energy relative to the lowest polymorph listed for this composition (eV/atom) = 0.0000
- total energy (eV per atom) = -14.8315
- V (Å³/cell) = 69.5

---

The following is a DFT calculation (SCAN) of a PBEsol-optimized structure of CsHS2.

Lattice parameters (Å, degrees): 5.6454 5.6454 10.3034 90.00 90.00 120.00
Space group R-3m (No. 166, hexagonal axes)
One atom of each set of equivalent atoms:
Cs 0.0000 0.0000 0.0000 (multiplicity 3)
H 0.0000 0.0000 0.5000 (multiplicity 3)
S 0.0000 0.0000 0.3388 (multiplicity 6)

- energy relative to the lowest polymorph listed for this composition (eV/atom) = 0.0000
- total energy (eV per atom) = -15.1585
- V (Å³/cell) = 284.4